# 1
Density functional theory data (PBE) for crystalline HoTm5Pd4 at its relaxed geometry.

Unit cell a=3.474 b=3.474 c=18.855 alpha=90.00 beta=90.00 gamma=90.00
Space group P4/mmm (No. 123)
Symmetry-distinct sites (fractional):
1 Ho 0.000 0.000 0.000 (multiplicity 1)
2 Tm 0.500 0.500 0.135 (multiplicity 2)
3 Tm 0.500 0.500 0.316 (multiplicity 2)
4 Tm 0.500 0.500 0.500 (multiplicity 1)
5 Pd 0.000 0.000 0.224 (multiplicity 2)
6 Pd 0.000 0.000 0.407 (multiplicity 2)

Computed properties:
- Volume: 227.6 Å³/f.u.
- E_tot: -55.05 eV per cell
- Energy of formation from the pure elements: -0.73 eV/atom

***

# 2
Density functional theory data (PBE) for crystalline Cu2PCl8 at its relaxed geometry.

Unit cell a=13.117 b=7.616 c=6.231 alpha=90.00 beta=91.73 gamma=90.00
Space group C2/m (No. 12)
Symmetry-distinct sites (fractional):
1 Cu 0.187 0.000 0.170 (multiplicity 4)
2 P 0.000 0.000 0.500 (multiplicity 2)
3 Cl 0.081 0.205 0.314 (multiplicity 8)
4 Cl 0.124 0.000 0.735 (multiplicity 4)
5 Cl 0.164 0.500 0.945 (multiplicity 4)

Computed properties:
- ΔE to the lowest computed polymorph: 0.00 eV per formula unit
- Volume: 311.1 Å³/f.u.
- Formation energy from raw total energies: -410 meV/atom
- E_tot: -65.78 eV per cell

***

# 3
Density functional theory data (PBE) for crystalline K2HoZn3F12 at its relaxed geometry.

Unit cell a=7.4545 b=7.4545 c=18.7136 alpha=90.00 beta=90.00 gamma=120.00
Space group R-3m (No. 166, hexagonal axes)
Symmetry-distinct sites (fractional):
1 K 0.0000 0.0000 0.1339 (multiplicity 6)
2 Ho 0.0000 0.0000 0.5000 (multiplicity 3)
3 Zn 0.0000 0.5000 0.0000 (multiplicity 9)
4 F 0.0366 0.5183 0.1106 (multiplicity 18)
5 F 0.0750 0.5375 0.3434 (multiplicity 18)

Computed properties:
- Volume: 300.2 Å³/f.u.
- Formation energy from raw total energies: -2705 meV/atom
- E_tot: -245.24 eV per cell

***

# 4
Density functional theory data (PBE) for crystalline RbGe2Rh2 at its relaxed geometry.

Unit cell a=4.190 b=4.190 c=6.219 alpha=90.00 beta=90.00 gamma=90.00
Space group P4/mmm (No. 123)
Symmetry-distinct sites (fractional):
1 Rb 0.000 0.000 0.000 (multiplicity 1)
2 Ge 0.500 0.500 0.280 (multiplicity 2)
3 Rh 0.000 0.500 0.500 (multiplicity 2)

Computed properties:
- ΔE to the lowest computed polymorph: 1.36 eV per formula unit
- Volume: 109.2 Å³/f.u.
- E_tot: -25.67 eV per cell
- Energy of formation from the pure elements: -0.15 eV/atom

***

# 5
Density functional theory data (PBE) for crystalline Ba2SnB at its relaxed geometry.

Unit cell a=8.149 b=8.149 c=8.149 alpha=90.00 beta=90.00 gamma=90.00
Space group Fm-3m (No. 225)
Symmetry-distinct sites (fractional):
1 Ba 0.250 0.250 0.250 (multiplicity 8)
2 Sn 0.000 0.000 0.000 (multiplicity 4)
3 B 0.000 0.000 0.500 (multiplicity 4)

Computed properties:
- ΔE to the lowest computed polymorph: 0.70 eV per formula unit
- Volume: 135.3 Å³/f.u.
- E_tot: -51.70 eV per cell
- Energy of formation from the pure elements: 0.40 eV/atom

***

# 6
Density functional theory data (PBE) for crystalline Rb2AgRu at its relaxed geometry.

Unit cell a=4.531 b=4.531 c=23.250 alpha=90.00 beta=90.00 gamma=90.00
Space group I-42d (No. 122)
Symmetry-distinct sites (fractional):
1 Rb 0.248 0.250 0.125 (multiplicity 8)
2 Ag 0.000 0.000 0.500 (multiplicity 4)
3 Ru 0.000 0.000 0.000 (multiplicity 4)

Computed properties:
- ΔE to the lowest computed polymorph: 0.26 eV per formula unit
- Volume: 119.3 Å³/f.u.
- E_tot: -35.68 eV per cell
- Energy of formation from the pure elements: 1.29 eV/atom

***

# 7
Density functional theory data (PBE) for crystalline PrNd5Y2Th at its relaxed geometry.

Unit cell a=5.760 b=20.556 c=10.633 alpha=90.00 beta=90.00 gamma=90.00
Space group Cmc2_1 (No. 36)
Symmetry-distinct sites (fractional):
1 Pr 0.000 0.089 0.000 (multiplicity 4)
2 Nd 0.000 0.023 0.293 (multiplicity 4)
3 Nd 0.000 0.111 0.579 (multiplicity 4)
4 Nd 0.000 0.207 0.254 (multiplicity 4)
5 Nd 0.000 0.222 0.865 (multiplicity 4)
6 Nd 0.000 0.483 0.575 (multiplicity 4)
7 Y 0.000 0.383 0.872 (multiplicity 4)
8 Y 0.000 0.387 0.286 (multiplicity 4)
9 Th 0.000 0.299 0.563 (multiplicity 4)

Computed properties:
- Volume: 314.7 Å³/f.u.
- E_tot: -190.21 eV per cell
- Energy of formation from the pure elements: 0.16 eV/atom

***

# 8
Density functional theory data (PBE) for crystalline AgPd2F at its relaxed geometry.

Unit cell a=6.284 b=6.284 c=6.284 alpha=90.00 beta=90.00 gamma=90.00
Space group Fm-3m (No. 225)
Symmetry-distinct sites (fractional):
1 Ag 0.000 0.000 0.000 (multiplicity 4)
2 Pd 0.250 0.250 0.250 (multiplicity 8)
3 F 0.000 0.000 0.500 (multiplicity 4)

Computed properties:
- ΔE to the lowest computed polymorph: 0.19 eV per formula unit
- Volume: 62.0 Å³/f.u.
- Formation energy from raw total energies: 59 meV/atom
- E_tot: -59.49 eV per cell

***

# 9
Density functional theory data (PBE) for crystalline Hf2Np3ScN6 at its relaxed geometry.

Unit cell a=5.673 b=9.828 c=5.877 alpha=90.00 beta=108.73 gamma=90.00
Space group C2/m (No. 12)
Symmetry-distinct sites (fractional):
1 Hf 0.000 0.167 0.000 (multiplicity 4)
2 Np 0.000 0.000 0.500 (multiplicity 2)
3 Np 0.000 0.335 0.500 (multiplicity 4)
4 Sc 0.000 0.500 0.000 (multiplicity 2)
5 N 0.238 0.000 0.226 (multiplicity 4)
6 N 0.245 0.331 0.228 (multiplicity 8)

Computed properties:
- Volume: 155.1 Å³/f.u.
- Formation energy from raw total energies: -1486 meV/atom
- E_tot: -265.69 eV per cell

***

# 10
Density functional theory data (PBE) for crystalline NdTl2Br3Cl3 at its relaxed geometry.

Unit cell a=8.4510 b=8.4510 c=4.1244 alpha=90.00 beta=90.00 gamma=120.00
Space group P-62m (No. 189)
Symmetry-distinct sites (fractional):
1 Nd 0.0000 0.0000 0.0000 (multiplicity 1)
2 Tl 0.3333 0.6667 0.5000 (multiplicity 2)
3 Br 0.0000 0.6001 0.0000 (multiplicity 3)
4 Cl 0.0000 0.2318 0.5000 (multiplicity 3)

Computed properties:
- Volume: 255.1 Å³/f.u.
- Formation energy from raw total energies: -1322 meV/atom
- E_tot: -31.96 eV per cell

***

# 11
Density functional theory data (PBE) for crystalline Tb4DyTe5 at its relaxed geometry.

Unit cell a=4.366 b=4.366 c=30.898 alpha=90.00 beta=90.00 gamma=90.00
Space group I4/mmm (No. 139)
Symmetry-distinct sites (fractional):
1 Tb 0.000 0.000 0.100 (multiplicity 4)
2 Tb 0.000 0.000 0.299 (multiplicity 4)
3 Dy 0.000 0.000 0.500 (multiplicity 2)
4 Te 0.000 0.000 0.000 (multiplicity 2)
5 Te 0.000 0.000 0.199 (multiplicity 4)
6 Te 0.000 0.000 0.400 (multiplicity 4)

Computed properties:
- Volume: 294.4 Å³/f.u.
- Formation energy from raw total energies: -1301 meV/atom
- E_tot: -103.69 eV per cell

***

# 12
Density functional theory data (PBE) for crystalline Mn2SbAu at its relaxed geometry.

Unit cell a=3.208 b=3.739 c=6.029 alpha=90.00 beta=90.00 gamma=90.00
Space group Pmm2 (No. 25)
Symmetry-distinct sites (fractional):
1 Mn 0.000 0.000 0.000 (multiplicity 1)
2 Mn 0.500 0.500 0.232 (multiplicity 1)
3 Sb 0.500 0.500 0.763 (multiplicity 1)
4 Au 0.000 0.000 0.441 (multiplicity 1)

Computed properties:
- Volume: 72.3 Å³/f.u.
- Formation energy from raw total energies: 136 meV/atom
- E_tot: -25.20 eV per cell

***

# 13
Density functional theory data (PBE) for crystalline Sc2CSe at its relaxed geometry.

Unit cell a=5.256 b=5.259 c=11.223 alpha=90.00 beta=115.96 gamma=90.00
Space group P2/c (No. 13)
Symmetry-distinct sites (fractional):
1 Sc 0.089 0.225 0.095 (multiplicity 4)
2 Sc 0.313 0.231 0.845 (multiplicity 4)
3 C 0.089 0.205 0.625 (multiplicity 4)
4 Se 0.382 0.270 0.375 (multiplicity 4)

Computed properties:
- Volume: 69.7 Å³/f.u.
- Formation energy from raw total energies: -1005 meV/atom
- E_tot: -117.56 eV per cell

***

# 14
Density functional theory data (PBE) for crystalline RbLa2Ni at its relaxed geometry.

Unit cell a=7.766 b=7.766 c=7.766 alpha=90.00 beta=90.00 gamma=90.00
Space group Fm-3m (No. 225)
Symmetry-distinct sites (fractional):
1 Rb 0.000 0.000 0.000 (multiplicity 4)
2 La 0.250 0.250 0.250 (multiplicity 8)
3 Ni 0.000 0.000 0.500 (multiplicity 4)

Computed properties:
- ΔE to the lowest computed polymorph: 2.28 eV per formula unit
- Volume: 117.1 Å³/f.u.
- E_tot: -57.26 eV per cell
- Energy of formation from the pure elements: 0.57 eV/atom

***

# 15
Density functional theory data (PBE) for crystalline HgRu4Au at its relaxed geometry.

Unit cell a=7.351 b=7.351 c=7.351 alpha=90.00 beta=90.00 gamma=90.00
Space group F-43m (No. 216)
Symmetry-distinct sites (fractional):
1 Hg 0.000 0.000 0.000 (multiplicity 4)
2 Ru 0.125 0.125 0.625 (multiplicity 16)
3 Au 0.250 0.250 0.250 (multiplicity 4)

Computed properties:
- Volume: 99.3 Å³/f.u.
- E_tot: -145.95 eV per cell
- Energy of formation from the pure elements: 0.70 eV/atom

***

# 16
Density functional theory data (PBE) for crystalline ScBeFe2 at its relaxed geometry.

Unit cell a=3.380 b=3.972 c=7.657 alpha=90.00 beta=90.00 gamma=90.00
Space group Imm2 (No. 44)
Symmetry-distinct sites (fractional):
1 Sc 0.000 0.000 0.000 (multiplicity 2)
2 Be 0.000 0.500 0.767 (multiplicity 2)
3 Fe 0.000 0.000 0.494 (multiplicity 2)
4 Fe 0.000 0.500 0.239 (multiplicity 2)

Computed properties:
- Volume: 51.4 Å³/f.u.
- E_tot: -53.72 eV per cell
- Energy of formation from the pure elements: 0.03 eV/atom

***

# 17
Density functional theory data (PBE) for crystalline Sc3TcHg at its relaxed geometry.

Unit cell a=5.011 b=5.011 c=5.011 alpha=90.00 beta=90.00 gamma=90.00
Space group Pm-3m (No. 221)
Symmetry-distinct sites (fractional):
1 Sc 0.000 0.000 0.500 (multiplicity 3)
2 Tc 0.000 0.000 0.000 (multiplicity 1)
3 Hg 0.500 0.500 0.500 (multiplicity 1)

Computed properties:
- ΔE to the lowest computed polymorph: 1.46 eV per formula unit
- Volume: 125.8 Å³/f.u.
- E_tot: -29.28 eV per cell
- Energy of formation from the pure elements: 0.08 eV/atom

***

# 18
Density functional theory data (PBE) for crystalline ScTl2Mo at its relaxed geometry.

Unit cell a=3.760 b=5.091 c=9.472 alpha=90.00 beta=90.00 gamma=90.00
Space group Cmm2 (No. 35)
Symmetry-distinct sites (fractional):
1 Sc 0.000 0.000 0.000 (multiplicity 2)
2 Tl 0.000 0.000 0.555 (multiplicity 2)
3 Tl 0.000 0.500 0.270 (multiplicity 2)
4 Mo 0.000 0.500 0.792 (multiplicity 2)

Computed properties:
- ΔE to the lowest computed polymorph: 0.33 eV per formula unit
- Volume: 90.7 Å³/f.u.
- E_tot: -41.08 eV per cell
- Energy of formation from the pure elements: 0.34 eV/atom

***

# 19
Density functional theory data (PBE) for crystalline LaPmY6 at its relaxed geometry.

Unit cell a=10.292 b=6.793 c=8.680 alpha=90.00 beta=105.34 gamma=90.00
Space group C2/m (No. 12)
Symmetry-distinct sites (fractional):
1 La 0.000 0.000 0.000 (multiplicity 2)
2 Pm 0.000 0.000 0.500 (multiplicity 2)
3 Y 0.127 0.500 0.426 (multiplicity 4)
4 Y 0.198 0.259 0.799 (multiplicity 8)

Computed properties:
- ΔE to the lowest computed polymorph: 0.00 eV per formula unit
- Volume: 292.6 Å³/f.u.
- E_tot: -90.93 eV per cell
- Energy of formation from the pure elements: 0.37 eV/atom

***

# 20
Density functional theory data (PBE) for crystalline CeCuRu at its relaxed geometry.

Unit cell a=3.608 b=3.608 c=8.646 alpha=90.00 beta=90.00 gamma=90.00
Space group I4mm (No. 107)
Symmetry-distinct sites (fractional):
1 Ce 0.000 0.000 0.000 (multiplicity 2)
2 Cu 0.000 0.000 0.677 (multiplicity 2)
3 Ru 0.000 0.000 0.276 (multiplicity 2)

Computed properties:
- ΔE to the lowest computed polymorph: 0.81 eV per formula unit
- Volume: 56.3 Å³/f.u.
- E_tot: -38.70 eV per cell
- Energy of formation from the pure elements: -0.01 eV/atom